The following is a DFT calculation (GGA-PBE) of crystalline LaNd3Pd12 at its relaxed geometry.

The space group is P4/mmm (No. 123) and the conventional cell measures 4.2039, 4.2039 and 16.8908 Å, with angles of 90.00, 90.00 and 90.00 degrees. Symmetry generates all atoms from La at (0.0000, 0.0000, 0.0000), Nd at (0.0000, 0.0000, 0.2513), Nd at (0.0000, 0.0000, 0.5000), Pd at (0.0000, 0.5000, 0.1259), Pd at (0.0000, 0.5000, 0.3753), Pd at (0.5000, 0.5000, 0.0000), Pd at (0.5000, 0.5000, 0.2503) and Pd at (0.5000, 0.5000, 0.5000).

The total magnetic moment comes out at 0.00 μB/f.u. The mass density is 10284 kg/m3. The calculation puts the formation enthalpy at 0 K at -774 meV/atom.